Density functional theory data (PBE) for a geometry-optimized Ba3Na4Ag4 structure.

Cell: 4.883 8.880 16.857 Å, 90.00 90.00 90.00°
Space group Immm (No. 71)
Symmetry-distinct sites (fractional):
Ba 0.000 0.000 0.000 x2
Ba 0.000 0.500 0.122 x4
Na 0.000 0.307 0.327 x8
Ag 0.000 0.000 0.221 x4
Ag 0.000 0.169 0.500 x4

Summary:
Uncorrected energy (Ry/atom): -0.160
M_tot (μB/f.u.): 0.00
Energy of formation (meV per atom): -136